Entry 1:
A relaxed Pm2Sm15Y2 crystal. Source: Alexandria, functional GGA-PBE.

Structure (extended XYZ):
```
19
Lattice="5.603 3.235 6.069 -5.603 3.235 6.069 0.000 -6.470 6.069" Properties=species:S:1:pos:R:3 pbc="T T T"
Pm 0.000 0.000 1.662
Pm 0.000 0.000 16.546
Sm -5.603 0.000 9.104
Sm -1.675 -3.569 6.069
Sm -2.801 1.617 3.035
Sm -3.928 0.334 6.069
Sm -2.606 -1.505 8.465
Sm 1.675 -3.569 6.069
Sm -2.254 3.235 6.069
Sm 0.000 -3.010 9.743
Sm -2.606 1.505 9.743
Sm 2.801 1.617 3.035
Sm 2.606 -1.505 8.465
Sm 0.000 3.010 8.465
Sm 3.928 0.334 6.069
Sm 2.254 3.235 6.069
Sm 2.606 1.505 9.743
Y 0.000 0.000 5.762
Y 0.000 0.000 12.446
```

Calculated values
V, A^3/atom: 34.74
Formation energy, eV/atom: 0.2678
Magnetic moment, μB/f.u.: 0.000

=====

Entry 2:
A relaxed Pm4SmY7 crystal. Source: Alexandria, functional GGA-PBE.

Structure (extended XYZ):
```
12
Lattice="6.602 0.000 0.000 0.980 6.815 0.000 2.062 0.461 8.914" Properties=species:S:1:pos:R:3 pbc="T T T"
Pm 1.821 2.276 2.530
Pm 4.513 6.336 6.178
Pm 5.131 0.940 2.735
Pm 7.823 5.000 6.384
Sm 3.791 3.407 0.000
Y 2.285 2.148 8.476
Y 2.709 5.674 3.219
Y 3.727 2.958 5.495
Y 3.301 0.000 0.000
Y 5.917 4.318 3.419
Y 6.934 1.602 5.695
Y 7.359 5.128 0.438
```

Calculated values
V, A^3/atom: 33.42
Formation energy, eV/atom: 0.0813
Magnetic moment, μB/f.u.: 0.000

=====

Entry 3:
A relaxed Pm5Sm2Y crystal. Source: Alexandria, functional GGA-PBE.

Structure (extended XYZ):
```
16
Lattice="2.888 -8.357 0.000 2.888 8.357 0.000 0.000 0.000 11.653" Properties=species:S:1:pos:R:3 pbc="T T T"
Pm 2.888 7.626 7.155
Pm 2.888 7.626 10.325
Pm 2.888 1.785 2.913
Pm 2.888 1.468 6.766
Pm 2.888 1.468 10.713
Pm 2.888 -1.468 0.940
Pm 2.888 -1.468 4.887
Pm 2.888 -1.785 8.740
Pm 2.888 -7.626 1.328
Pm 2.888 -7.626 4.498
Sm 2.888 4.811 0.960
Sm 2.888 4.811 4.866
Sm 2.888 -4.811 6.786
Sm 2.888 -4.811 10.693
Y 2.888 4.553 8.740
Y 2.888 -4.553 2.913
```

Calculated values
V, A^3/atom: 35.16
Formation energy, eV/atom: 0.1272
Magnetic moment, μB/f.u.: 0.000